La2Ho3Th3 | PBE-GGA | optimized geometry

Cell lengths 3.6799, 9.1195, 9.1195 Å; angles 119.98, 90.00, 90.00 degrees
Fractional positions:
La: 0.0000 0.6664 0.3333
La: 0.0000 0.3333 0.6664
Ho: 0.5000 0.9998 0.3905
Ho: 0.5000 0.3905 0.9998
Ho: 0.5000 0.6098 0.6098
Th: 0.0000 0.0001 0.7751
Th: 0.0000 0.7751 0.0001
Th: 0.0000 0.2249 0.2249

**Energy**: -5.550 eV/atom
**DOS at the Fermi energy**: 1.42 states/eV/atom
**SG**: P-62m (189)